--- w ---
! ZrPd7Au4 (PBE, relaxed); values from VASP
&SYSTEM
  ibrav = 0, nat = 12, ntyp = 3
/
ATOMIC_SPECIES
Pd 106.42 Pd.upf
Zr 91.22 Zr.upf
Au 196.97 Au.upf
CELL_PARAMETERS angstrom
-2.3434 5.2140 0.7152
-6.4805 3.6977 -1.5248
-5.2962 -1.3426 5.2669
ATOMIC_POSITIONS angstrom
Pd -8.0365 5.5082 3.7710
Zr 0.0000 0.0000 0.0000
Au -3.4369 1.4952 1.6744
Pd -6.0836 2.0608 0.6864
Pd -3.8214 3.1589 -0.5701
Au -7.2601 4.6482 1.1099
Pd -4.5831 4.1078 2.0038
Au -10.6833 6.0738 2.7830
Pd -9.5371 3.4612 2.4536
Pd -1.1717 2.6070 0.3576
Au -6.8601 2.9209 3.3475
Pd -10.2988 4.4102 5.0275
! DOS at the Fermi energy = 0.3994 states/eV/atom
! Size of the total moment = 0.000 μB per atom
! Space group = P-1 (2)
! Density = 13.52 g cm⁻³
! Volume = 16.62 Å³/atom

---

--- x ---
! ZrPd7Au4 (PBE, relaxed); values from VASP
&SYSTEM
  ibrav = 0, nat = 12, ntyp = 3
/
ATOMIC_SPECIES
Au 196.97 Au.upf
Pd 106.42 Pd.upf
Zr 91.22 Zr.upf
CELL_PARAMETERS angstrom
4.9454 0.0000 0.0000
2.4727 8.6885 -0.3886
2.4727 0.1233 5.0103
ATOMIC_POSITIONS angstrom
Au 4.9454 2.0592 2.8654
Pd 2.4727 0.0000 0.0000
Zr 0.0000 0.0000 0.0000
Pd 4.9454 4.8004 3.6407
Au 4.9454 6.7526 1.7563
Pd 7.4181 3.4011 3.3289
Pd 7.4181 8.0315 2.0438
Pd 4.9454 4.0114 0.9810
Au 2.4727 2.7098 0.5798
Pd 2.4727 0.7803 2.5779
Pd 2.4727 5.4107 1.2928
Au 7.4181 6.1020 4.0419
! DOS at the Fermi energy = 0.6413 states/eV/atom
! Size of the total moment = 0.000 μB per atom
! Space group = C2/m (12)
! Density = 12.51 g cm⁻³
! Volume = 17.96 Å³/atom

---

From most stable to least stable, the computed energies give w, x.

---

--- w ---
! ZrPdAu (PBE, relaxed); values from VASP
&SYSTEM
  ibrav = 0, nat = 6, ntyp = 3
/
ATOMIC_SPECIES
Zr 91.22 Zr.upf
Au 196.97 Au.upf
Pd 106.42 Pd.upf
CELL_PARAMETERS angstrom
4.6914 0.0000 0.0000
-2.3457 4.0667 0.0000
0.0000 0.0000 5.7535
ATOMIC_POSITIONS angstrom
Zr 2.3457 0.0000 2.8768
Au 0.0000 1.3567 1.4384
Pd 2.3457 2.7136 1.4384
Zr 2.3457 0.0000 0.0000
Au 2.3457 2.7100 4.3152
Pd 0.0000 1.3531 4.3152
! DOS at the Fermi energy = 1.1972 states/eV/atom
! Size of the total moment = 0.000 μB per atom
! Space group = P6_3/mmc (194)
! Density = 11.94 g cm⁻³
! Volume = 18.29 Å³/atom

---

--- x ---
! ZrPdAu (PBE, relaxed); values from VASP
&SYSTEM
  ibrav = 0, nat = 3, ntyp = 3
/
ATOMIC_SPECIES
Zr 91.22 Zr.upf
Au 196.97 Au.upf
Pd 106.42 Pd.upf
CELL_PARAMETERS angstrom
3.5439 0.0000 0.0000
0.0000 3.5439 0.0000
-1.7719 -1.7719 4.3788
ATOMIC_POSITIONS angstrom
Zr 0.0000 0.0000 2.5068
Au 1.7719 1.7719 1.0326
Pd 1.7719 1.7719 3.9046
! DOS at the Fermi energy = 0.5342 states/eV/atom
! Size of the total moment = 0.000 μB per atom
! Space group = I4mm (107)
! Density = 11.92 g cm⁻³
! Volume = 18.33 Å³/atom

---

From most stable to least stable, the computed energies give x, w.

---

--- w ---
! ZrPd8Au2 (PBE, relaxed); values from VASP
&SYSTEM
  ibrav = 0, nat = 11, ntyp = 3
/
ATOMIC_SPECIES
Zr 91.22 Zr.upf
Pd 106.42 Pd.upf
Au 196.97 Au.upf
CELL_PARAMETERS angstrom
4.2968 0.2376 -0.1608
-0.4384 6.4220 -2.2133
0.2337 0.3646 6.7931
ATOMIC_POSITIONS angstrom
Zr 2.1484 0.1188 -0.0804
Pd 2.0110 4.6753 2.9945
Au -0.0192 2.6438 3.4043
Pd 2.2206 1.9385 4.5493
Pd 4.2148 5.0901 4.8361
Pd -0.1227 1.9341 -0.4171
Pd 2.0811 2.3489 1.4245
Pd 4.0380 6.6836 2.4668
Au -0.1855 4.1428 1.1755
Pd 0.0541 0.3406 1.9522
Pd 1.8715 5.0857 -0.1303
! DOS at the Fermi energy = 0.8988 states/eV/atom
! Size of the total moment = 0.000 μB per atom
! Space group = Cmmm (65)
! Density = 11.57 g cm⁻³
! Volume = 17.43 Å³/atom

---

--- x ---
! ZrPd8Au2 (PBE, relaxed); values from VASP
&SYSTEM
  ibrav = 0, nat = 11, ntyp = 3
/
ATOMIC_SPECIES
Pd 106.42 Pd.upf
Au 196.97 Au.upf
Zr 91.22 Zr.upf
CELL_PARAMETERS angstrom
4.9035 1.6694 0.0000
2.9334 7.0701 0.0000
1.4667 3.5350 6.3873
ATOMIC_POSITIONS angstrom
Pd 3.9184 4.3697 3.6389
Pd 4.3164 9.2990 4.9586
Au 1.4667 3.5350 2.4559
Pd 2.8497 5.7639 1.4287
Pd 5.3851 7.9048 2.7484
Zr 2.4517 0.8347 0.0000
Pd 6.4538 6.5106 4.9586
Pd 4.9871 2.9755 1.4287
Pd 2.7899 3.4329 0.0000
Au 2.9334 7.0701 3.9314
Pd 5.0469 5.3066 0.0000
! DOS at the Fermi energy = 0.7585 states/eV/atom
! Size of the total moment = 0.000 μB per atom
! Space group = C2/m (12)
! Density = 11.67 g cm⁻³
! Volume = 17.29 Å³/atom

---

From most stable to least stable, the computed energies give w, x.

---

--- w ---
! ZrPd3Au2 (PBE, relaxed); values from VASP
&SYSTEM
  ibrav = 0, nat = 12, ntyp = 3
/
ATOMIC_SPECIES
Pd 106.42 Pd.upf
Au 196.97 Au.upf
Zr 91.22 Zr.upf
CELL_PARAMETERS angstrom
-2.7134 -2.8127 2.1579
-3.8748 -1.8045 -7.2242
3.5830 -4.1378 -0.8881
ATOMIC_POSITIONS angstrom
Pd 0.0000 0.0000 0.0000
Pd -1.5026 -4.3775 -2.9772
Pd 1.4004 -3.7557 -3.1343
Au 0.0632 -4.2321 -5.4368
Au -3.7642 -3.8859 -5.1802
Zr 1.7915 -2.0689 -0.4441
Au -0.3550 -1.7103 -2.6756
Pd -1.0461 -2.7663 -0.3032
Pd -1.9590 -5.9887 -5.6512
Pd -1.6922 -2.1867 -4.9781
Zr -3.2941 -2.3086 -2.5331
Au 0.7590 -4.8692 -0.7743
! DOS at the Fermi energy = 0.4653 states/eV/atom
! Size of the total moment = 0.000 μB per atom
! Space group = Pnnm (58)
! Density = 12.86 g cm⁻³
! Volume = 17.32 Å³/atom

---

--- x ---
! ZrPd3Au2 (PBE, relaxed); values from VASP
&SYSTEM
  ibrav = 0, nat = 12, ntyp = 3
/
ATOMIC_SPECIES
Au 196.97 Au.upf
Pd 106.42 Pd.upf
Zr 91.22 Zr.upf
CELL_PARAMETERS angstrom
4.0182 0.0000 0.0000
0.0000 8.0869 -1.1427
-2.0091 -3.3186 6.8044
ATOMIC_POSITIONS angstrom
Au 0.0000 3.4247 2.6502
Au 0.0000 1.1202 0.8659
Pd 0.0000 -0.6482 3.2576
Au 2.0091 1.3435 3.0115
Pd 2.0091 5.4165 2.4041
Au 2.0091 3.6481 4.7958
Zr 2.0091 7.0049 0.1744
Pd 2.0091 3.1227 0.5603
Pd 0.0000 1.6456 5.1014
Zr 0.0000 -2.2366 5.4873
Pd 0.0000 5.1384 0.3311
Pd 2.0091 -0.3701 5.3306
! DOS at the Fermi energy = 0.3740 states/eV/atom
! Size of the total moment = 0.000 μB per atom
! Space group = C2/m (12)
! Density = 12.98 g cm⁻³
! Volume = 17.16 Å³/atom

---

From most stable to least stable, the computed energies give x, w.

---

--- w ---
! PmAu3 (PBE, relaxed); values from VASP
&SYSTEM
  ibrav = 0, nat = 4, ntyp = 2
/
ATOMIC_SPECIES
Au 196.97 Au.upf
Pm 145.00 Pm.upf
CELL_PARAMETERS angstrom
-4.6002 -1.9260 -0.1315
1.4743 -3.7245 2.9768
0.6953 4.7074 1.3620
ATOMIC_POSITIONS angstrom
Au 0.1808 -0.6116 2.6315
Au -1.6858 -2.5149 1.1746
Pm 1.3514 -3.4141 2.7287
Au -2.8572 0.2892 1.0797
! DOS at the Fermi energy = 0.3225 states/eV/atom
! Size of the total moment = 0.000 μB per atom
! Space group = I4/mmm (139)
! Density = 14.14 g cm⁻³
! Volume = 21.61 Å³/atom

---

--- x ---
! PmAu3 (PBE, relaxed); values from VASP
&SYSTEM
  ibrav = 0, nat = 4, ntyp = 2
/
ATOMIC_SPECIES
Au 196.97 Au.upf
Pm 145.00 Pm.upf
CELL_PARAMETERS angstrom
-0.3563 0.1818 4.0876
1.9566 -3.5959 0.3305
4.2468 4.4823 -1.8925
ATOMIC_POSITIONS angstrom
Au 0.8001 -1.7071 2.2090
Au 2.6314 1.4469 0.1650
Pm 0.0000 0.0000 0.0000
Au 3.2158 -0.3788 2.3605
! DOS at the Fermi energy = 0.2879 states/eV/atom
! Size of the total moment = 0.000 μB per atom
! Space group = I4/mmm (139)
! Density = 12.56 g cm⁻³
! Volume = 24.33 Å³/atom

---

From most stable to least stable, the computed energies give w, x.

---

--- w ---
! PmAu3 (PBE, relaxed); values from VASP
&SYSTEM
  ibrav = 0, nat = 4, ntyp = 2
/
ATOMIC_SPECIES
Pm 145.00 Pm.upf
Au 196.97 Au.upf
CELL_PARAMETERS angstrom
-0.3903 3.9639 -0.0925
-3.8648 -0.4011 -0.8812
-1.2924 0.0050 5.6660
ATOMIC_POSITIONS angstrom
Pm -2.3406 -0.1990 1.3493
Au -1.1724 0.0045 5.1402
Au -0.8884 1.9846 2.9932
Au -3.2999 1.7859 4.6530
! DOS at the Fermi energy = 0.2182 states/eV/atom
! Size of the total moment = 0.000 μB per atom
! Space group = P4mm (99)
! Density = 13.25 g cm⁻³
! Volume = 23.06 Å³/atom

---

--- x ---
! PmAu3 (PBE, relaxed); values from VASP
&SYSTEM
  ibrav = 0, nat = 8, ntyp = 2
/
ATOMIC_SPECIES
Au 196.97 Au.upf
Pm 145.00 Pm.upf
CELL_PARAMETERS angstrom
6.4174 0.0000 0.0000
-3.2087 5.5576 0.0000
0.0000 0.0000 4.8539
ATOMIC_POSITIONS angstrom
Au 1.5141 0.8742 3.6405
Au 4.9033 0.8742 3.6405
Au 1.6946 4.6835 1.2135
Au -1.6946 4.6835 1.2135
Au 3.2087 3.8093 3.6405
Pm 0.0000 3.7051 3.6405
Pm 3.2087 1.8525 1.2135
Au 0.0000 1.7483 1.2135
! DOS at the Fermi energy = 0.4017 states/eV/atom
! Size of the total moment = 0.000 μB per atom
! Space group = P6_3/mmc (194)
! Density = 14.12 g cm⁻³
! Volume = 21.64 Å³/atom

---

From most stable to least stable, the computed energies give x, w.

---

--- w ---
! PmAu4 (PBE, relaxed); values from VASP
&SYSTEM
  ibrav = 0, nat = 5, ntyp = 2
/
ATOMIC_SPECIES
Au 196.97 Au.upf
Pm 145.00 Pm.upf
CELL_PARAMETERS angstrom
-0.4645 -0.6150 -3.9566
3.6797 -1.6363 -0.1764
-4.2333 -4.9543 3.3024
ATOMIC_POSITIONS angstrom
Au -0.2104 -2.6862 -2.6450
Au 0.8011 -0.5622 -1.0357
Au -0.8077 -4.5194 1.8144
Au -1.8192 -6.6434 0.2051
Pm -2.3489 -2.7847 -0.3271
! DOS at the Fermi energy = 0.4181 states/eV/atom
! Size of the total moment = 0.000 μB per atom
! Space group = C2/m (12)
! Density = 14.15 g cm⁻³
! Volume = 21.89 Å³/atom

---

--- x ---
! PmAu4 (PBE, relaxed); values from VASP
&SYSTEM
  ibrav = 0, nat = 5, ntyp = 2
/
ATOMIC_SPECIES
Pm 145.00 Pm.upf
Au 196.97 Au.upf
CELL_PARAMETERS angstrom
-3.3028 3.5468 2.6897
-4.3774 -1.9801 -2.7640
-0.8078 -3.7712 3.9810
ATOMIC_POSITIONS angstrom
Pm -4.2440 -1.1023 1.9533
Au -2.0553 -0.1122 3.3353
Au -2.5926 -2.8757 0.6085
Au -3.8401 0.7833 -0.0372
Au 0.0000 0.0000 0.0000
! DOS at the Fermi energy = 0.3751 states/eV/atom
! Size of the total moment = 0.000 μB per atom
! Space group = Pm-3m (221)
! Density = 9.10 g cm⁻³
! Volume = 34.06 Å³/atom

---

From most stable to least stable, the computed energies give w, x.

---

--- w ---
! PmAu12 (PBE, relaxed); values from VASP
&SYSTEM
  ibrav = 0, nat = 13, ntyp = 2
/
ATOMIC_SPECIES
Au 196.97 Au.upf
Pm 145.00 Pm.upf
CELL_PARAMETERS angstrom
5.3169 0.0000 2.1471
2.6584 6.6987 1.0736
0.1501 0.0000 7.2849
ATOMIC_POSITIONS angstrom
Au 2.7335 0.0000 4.7160
Au 1.3292 3.3493 0.5368
Au 2.1201 1.4376 2.4065
Au 1.0127 2.3037 5.1488
Au 4.4543 2.3037 4.2832
Au 1.7958 4.3950 3.2096
Pm 0.0000 0.0000 0.0000
Au 3.9877 3.3493 1.6103
Au 3.3469 1.4376 7.0255
Au 0.0751 0.0000 3.6424
Au 6.0053 5.2611 8.0990
Au 3.6712 4.3950 6.2224
Au 4.7786 5.2611 3.4801
! DOS at the Fermi energy = 0.3257 states/eV/atom
! Size of the total moment = 0.000 μB per atom
! Space group = I4/mmm (139)
! Density = 16.19 g cm⁻³
! Volume = 19.79 Å³/atom

---

--- x ---
! PmAu12 (PBE, relaxed); values from VASP
&SYSTEM
  ibrav = 0, nat = 13, ntyp = 2
/
ATOMIC_SPECIES
Au 196.97 Au.upf
Pm 145.00 Pm.upf
CELL_PARAMETERS angstrom
-0.8570 4.7587 6.4539
1.5495 -2.8834 7.3700
6.5068 2.5326 4.0348
ATOMIC_POSITIONS angstrom
Au 1.9175 0.3662 10.0610
Au 1.1010 2.9592 9.7502
Au 4.1254 1.2255 11.4301
Pm 0.0000 0.0000 0.0000
Au 3.0739 3.1823 6.4287
Au 3.8904 0.5893 6.7395
Au 4.4161 -0.3891 9.2402
Au 2.7831 4.7970 8.6185
Au 6.0982 1.4486 8.1086
Au 5.8074 3.0633 10.2985
Au 3.3088 3.8186 11.1193
Au 1.3918 1.3446 7.5603
Au 5.2817 4.0417 7.7977
! DOS at the Fermi energy = 0.7959 states/eV/atom
! Size of the total moment = 0.000 μB per atom
! Space group = Fm-3m (225)
! Density = 11.23 g cm⁻³
! Volume = 28.53 Å³/atom

---

From most stable to least stable, the computed energies give w, x.

---

--- w ---
! Pm2Au3 (PBE, relaxed); values from VASP
&SYSTEM
  ibrav = 0, nat = 10, ntyp = 2
/
ATOMIC_SPECIES
Pm 145.00 Pm.upf
Au 196.97 Au.upf
CELL_PARAMETERS angstrom
-1.1065 1.2070 3.3339
0.1298 -4.3702 1.6252
14.1251 1.2282 2.1744
ATOMIC_POSITIONS angstrom
Pm 1.4806 -2.4128 3.4340
Au 5.0445 -2.6100 2.6191
Pm 5.0454 0.2621 3.6487
Au 9.8445 -1.2840 5.8012
Au 8.1039 0.6749 4.5144
Au 0.7016 -1.0023 0.5957
Pm 8.1031 -2.1972 3.4848
Au 12.4469 -0.9328 6.5378
Pm 11.6679 0.4778 3.6995
Au 3.3039 -0.6510 1.3322
! DOS at the Fermi energy = 0.7303 states/eV/atom
! Size of the total moment = 0.000 μB per atom
! Space group = Cmcm (63)
! Density = 11.87 g cm⁻³
! Volume = 24.64 Å³/atom

---

--- x ---
! Pm2Au3 (PBE, relaxed); values from VASP
&SYSTEM
  ibrav = 0, nat = 20, ntyp = 2
/
ATOMIC_SPECIES
Au 196.97 Au.upf
Pm 145.00 Pm.upf
CELL_PARAMETERS angstrom
-7.5712 3.6839 2.7390
-1.7822 -6.4243 -5.8265
4.2983 -3.4220 6.9434
ATOMIC_POSITIONS angstrom
Au 1.9983 -4.1101 6.0582
Pm -5.9173 -0.7567 2.9955
Au -3.1949 -0.6166 1.7620
Pm 2.4858 -1.9789 4.0154
Au -0.2186 -2.2809 2.6867
Pm -1.4840 -2.9237 -2.6988
Au -1.1186 -5.6052 -0.1001
Au -3.9382 -3.7997 -1.2284
Pm -1.7760 -0.3721 4.3849
Pm 0.3366 -0.2680 0.5437
Au -3.2363 -2.9836 4.3847
Pm -5.2696 -1.0817 -1.3293
Pm -0.8736 -7.5218 2.1845
Au 1.7777 -7.4168 0.8016
Au -4.2663 -6.1127 1.4222
Pm -2.6671 -3.5843 1.4717
Au -4.7133 1.8754 3.7539
Au 0.4693 -4.9729 2.9921
Au -6.0945 1.0416 0.6107
Au -7.7949 -1.9929 -0.0083
! DOS at the Fermi energy = 0.7627 states/eV/atom
! Size of the total moment = 0.000 μB per atom
! Space group = I-43d (220)
! Density = 10.95 g cm⁻³
! Volume = 26.72 Å³/atom

---

From most stable to least stable, the computed energies give w, x.

---

--- w ---
! Pm3PrAu4 (PBE, relaxed); values from VASP
&SYSTEM
  ibrav = 0, nat = 8, ntyp = 3
/
ATOMIC_SPECIES
Au 196.97 Au.upf
Pr 140.91 Pr.upf
Pm 145.00 Pm.upf
CELL_PARAMETERS angstrom
6.0581 0.0000 -2.1419
-3.0291 5.2465 -2.1419
0.0000 0.0000 6.4256
ATOMIC_POSITIONS angstrom
Au -1.5143 2.6228 -1.0708
Pr 0.0000 0.0000 0.0000
Au 1.5148 2.6237 1.0711
Pm 1.5145 2.6233 -2.1419
Au 3.0285 0.0000 -1.0708
Au 0.0000 0.0000 3.2123
Pm -1.5145 2.6233 2.1419
Pm 3.0291 0.0000 2.1419
! DOS at the Fermi energy = 1.0809 states/eV/atom
! Size of the total moment = 0.000 μB per atom
! Space group = Im-3m (229)
! Density = 11.09 g cm⁻³
! Volume = 25.53 Å³/atom

---

--- x ---
! Pm3PrAu4 (PBE, relaxed); values from VASP
&SYSTEM
  ibrav = 0, nat = 8, ntyp = 3
/
ATOMIC_SPECIES
Pr 140.91 Pr.upf
Au 196.97 Au.upf
Pm 145.00 Pm.upf
CELL_PARAMETERS angstrom
3.8342 0.0000 0.0000
0.0000 7.1690 -0.8037
-1.9171 -2.6849 8.4168
ATOMIC_POSITIONS angstrom
Pr 1.9171 0.0000 0.0000
Au 0.0000 -0.7691 6.0839
Pm 0.0000 0.3674 3.2833
Au 1.9171 5.2531 1.5291
Au 0.0000 2.0999 5.7612
Au 1.9171 2.3841 1.8518
Pm 0.0000 3.5845 -0.4019
Pm 1.9171 4.1167 4.3298
! DOS at the Fermi energy = 1.0096 states/eV/atom
! Size of the total moment = 0.000 μB per atom
! Space group = Immm (71)
! Density = 10.15 g cm⁻³
! Volume = 27.89 Å³/atom

---

From most stable to least stable, the computed energies give w, x.

---

--- w ---
! PmPr2Au (PBE, relaxed); values from VASP
&SYSTEM
  ibrav = 0, nat = 8, ntyp = 3
/
ATOMIC_SPECIES
Pr 140.91 Pr.upf
Pm 145.00 Pm.upf
Au 196.97 Au.upf
CELL_PARAMETERS angstrom
-3.0284 1.7753 -1.6034
-1.3089 -6.3932 0.0290
-4.3502 0.9326 9.2490
ATOMIC_POSITIONS angstrom
Pr -4.2284 -0.1682 3.1506
Pr -4.4591 -3.5170 4.5240
Pr -6.1972 -3.1444 8.2193
Pr -2.4904 -0.5408 -0.5447
Pm -3.6321 -0.0191 6.8354
Au -6.2581 -1.3036 5.7299
Au -2.4294 -2.3816 1.9448
Pm -5.0555 -3.6661 0.8392
! DOS at the Fermi energy = 1.0729 states/eV/atom
! Size of the total moment = 0.000 μB per atom
! Space group = Cmcm (63)
! Density = 8.39 g cm⁻³
! Volume = 30.87 Å³/atom

---

--- x ---
! PmPr2Au (PBE, relaxed); values from VASP
&SYSTEM
  ibrav = 0, nat = 4, ntyp = 3
/
ATOMIC_SPECIES
Au 196.97 Au.upf
Pr 140.91 Pr.upf
Pm 145.00 Pm.upf
CELL_PARAMETERS angstrom
3.8516 0.0000 0.0000
1.9258 3.3356 0.0000
1.9258 1.1119 10.2284
ATOMIC_POSITIONS angstrom
Au 5.7774 3.3356 10.2222
Pr 1.9258 1.1119 2.1524
Pm 3.8516 2.2237 5.1270
Pr 1.9258 1.1119 8.0694
! DOS at the Fermi energy = 1.2546 states/eV/atom
! Size of the total moment = 0.000 μB per atom
! Space group = R3m (160)
! Density = 7.88 g cm⁻³
! Volume = 32.85 Å³/atom

---

From most stable to least stable, the computed energies give w, x.